Entry from the Alexandria database: a relaxed TbDy2Er5 crystal (PBE).

E ... -4.4392 eV/atom
ΔE to the lowest computed polymorph ... 0.1245 eV/atom

Geometry as POSCAR:
```
TbDy2Er5
1.0
8.069 -2.788 0.000
8.069 2.788 0.000
-0.006 0.000 11.317
Tb Dy Er
2 4 10
Cartesian
3.665 0.000 2.830
12.467 0.000 8.487
3.423 0.000 6.573
3.424 0.000 10.401
12.708 0.000 0.916
12.708 0.000 4.744
0.710 0.000 4.385
0.722 0.000 1.268
6.376 0.000 8.488
6.660 0.000 0.892
6.655 0.000 4.773
9.476 0.000 6.544
9.472 0.000 10.425
9.755 0.000 2.829
15.409 0.000 10.049
15.422 0.000 6.932
```


Entry from the Alexandria database: a relaxed ZnSiCl2 crystal (PBE).

E_form (uncorrected) ... -0.318 eV/atom
E ... -2.9159 eV/atom
ΔE to the lowest computed polymorph ... 0.0018 eV/atom

Geometry as POSCAR:
```
ZnSiCl2
1.0
6.395 -1.981 0.000
6.395 1.981 0.000
-1.476 0.000 4.726
Zn Si Cl
1 1 2
Cartesian
0.000 0.000 0.000
6.060 0.000 1.470
0.405 0.000 3.323
4.068 0.000 2.168
```


Entry from the Alexandria database: a relaxed Ir2RuPt crystal (PBE).

E ... -8.2264 eV/atom
ΔE to the lowest computed polymorph ... 0.0513 eV/atom

Geometry as POSCAR:
```
Ir2RuPt
1.0
-1.936 1.936 3.898
1.936 -1.936 3.898
1.936 1.936 -3.898
Ir Ru Pt
2 1 1
Cartesian
0.000 0.000 0.000
0.000 1.936 1.949
1.936 0.000 1.949
0.000 0.000 3.898
```


Entry from the Alexandria database: a relaxed CdBRh2Br crystal (PBE).

E_form (uncorrected) ... 1.652 eV/atom
E ... -3.1412 eV/atom

Geometry as POSCAR:
```
CdBRh2Br
1.0
5.112 0.000 0.000
0.000 5.112 0.000
0.000 0.000 4.104
Cd B Rh Br
1 1 2 1
Cartesian
0.000 0.000 0.000
0.000 0.000 2.052
0.000 2.556 0.000
2.556 0.000 0.000
2.556 2.556 2.052
```


Entry from the Alexandria database: a relaxed Be2AlCO crystal (PBE).

E_form (uncorrected) ... 0.012 eV/atom
E ... -5.0631 eV/atom

Geometry as POSCAR:
```
Be2AlCO
1.0
3.120 0.000 0.000
0.000 3.120 0.000
0.000 0.000 4.945
Be Al C O
2 1 1 1
Cartesian
0.000 1.560 0.000
1.560 0.000 0.000
0.000 0.000 2.473
1.560 1.560 2.473
0.000 0.000 0.000
```


Entry from the Alexandria database: a relaxed CePr4Mg3 crystal (PBE).

E ... -3.7737 eV/atom

Geometry as POSCAR:
```
CePr4Mg3
1.0
3.791 0.000 0.000
0.000 3.791 0.000
0.000 0.000 17.072
Ce Pr Mg
1 4 3
Cartesian
0.000 0.000 0.000
1.896 1.896 2.354
1.896 1.896 6.530
1.896 1.896 10.542
1.896 1.896 14.718
0.000 0.000 4.446
0.000 0.000 8.536
0.000 0.000 12.626
```


Entry from the Alexandria database: a relaxed HfMn22B6 crystal (PBE).

E ... -8.9018 eV/atom

Geometry as POSCAR:
```
HfMn22B6
1.0
0.000 5.293 5.293
5.293 0.000 5.293
5.293 5.293 0.000
Hf Mn B
1 22 6
Cartesian
0.000 0.000 0.000
1.870 1.870 0.000
3.423 3.423 0.000
1.870 0.000 1.870
5.293 3.423 1.870
3.423 0.000 3.423
5.293 1.870 3.423
6.551 4.035 4.035
2.647 2.647 2.647
0.000 1.870 1.870
3.423 5.293 1.870
3.423 1.870 5.293
4.035 4.035 4.035
6.551 6.551 4.035
6.551 4.035 6.551
4.035 6.551 4.035
4.035 4.035 6.551
6.551 6.551 6.551
0.000 3.423 3.423
1.870 5.293 3.423
1.870 3.423 5.293
7.940 7.940 7.940
4.035 6.551 6.551
5.293 5.293 2.864
5.293 2.864 5.293
7.722 5.293 5.293
2.864 5.293 5.293
5.293 7.722 5.293
5.293 5.293 7.722
```


Entry from the Alexandria database: a relaxed La2Ce2Te7 crystal (PBE).

E_form (uncorrected) ... -1.187 eV/atom
E ... -5.1606 eV/atom

Geometry as POSCAR:
```
La2Ce2Te7
1.0
5.066 -5.593 0.000
5.066 5.593 0.000
0.000 0.000 7.576
La Ce Te
2 2 7
Cartesian
2.399 0.000 0.000
7.733 0.000 0.000
5.066 3.010 3.788
5.066 -3.010 3.788
0.000 0.000 1.975
0.000 0.000 5.601
2.533 2.796 1.832
2.533 2.796 5.744
2.533 -2.796 1.832
2.533 -2.796 5.744
5.066 0.000 3.788
```


Entry from the Alexandria database: a relaxed Cd4Hg2Ge crystal (PBE).

E ... -1.0596 eV/atom

Geometry as POSCAR:
```
Cd4Hg2Ge
1.0
-2.635 2.635 7.559
2.635 -2.635 7.559
2.635 2.635 -7.559
Cd Hg Ge
4 2 1
Cartesian
2.635 0.000 0.000
0.000 0.000 2.827
0.000 2.635 0.000
0.000 0.000 12.292
0.000 0.000 5.693
0.000 0.000 9.426
0.000 0.000 0.000
```


Entry from the Alexandria database: a relaxed ZnSnBi2O crystal (PBE).

E_form (uncorrected) ... -0.152 eV/atom
E ... -3.7516 eV/atom

Geometry as POSCAR:
```
ZnSnBi2O
1.0
5.308 0.000 0.000
0.000 5.308 0.000
0.000 0.000 4.132
Zn Sn Bi O
1 1 2 1
Cartesian
0.000 0.000 0.000
2.654 2.654 0.000
0.000 2.654 2.066
2.654 0.000 2.066
0.000 0.000 2.066
```


Entry from the Alexandria database: a relaxed Sc4CdPt2Au crystal (PBE).

E ... -6.0864 eV/atom

Geometry as POSCAR:
```
Sc4CdPt2Au
1.0
2.382 1.375 7.844
-2.382 1.375 7.844
0.000 -2.750 7.844
Sc Cd Pt Au
4 1 2 1
Cartesian
0.000 0.000 2.861
0.000 0.000 8.766
0.000 0.000 14.766
0.000 0.000 20.671
0.000 0.000 11.766
0.000 0.000 5.722
0.000 0.000 17.810
0.000 0.000 0.000
```


Entry from the Alexandria database: a relaxed YAuC crystal (PBE).

E ... -6.7131 eV/atom

Geometry as POSCAR:
```
YAuC
1.0
3.571 -1.867 0.000
3.571 1.867 0.000
-1.962 0.000 8.700
Y Au C
2 2 2
Cartesian
-0.029 0.000 2.848
5.209 0.000 5.852
0.470 0.000 7.846
4.710 0.000 0.854
2.027 0.000 4.001
3.153 0.000 4.699
```


Entry from the Alexandria database: a relaxed BaHgGe crystal (PBE).

E ... -2.7221 eV/atom

Geometry as POSCAR:
```
BaHgGe
1.0
6.314 -2.394 0.000
6.314 2.394 0.000
-5.350 0.000 6.307
Ba Hg Ge
2 2 2
Cartesian
0.000 0.000 0.000
3.639 0.000 3.153
-0.135 0.000 3.755
7.413 0.000 2.552
-1.742 0.000 5.982
9.020 0.000 0.325
```


Entry from the Alexandria database: a relaxed CdRe2Pb crystal (PBE).

E ... -5.8174 eV/atom
ΔE to the lowest computed polymorph ... 1.2250 eV/atom

Geometry as POSCAR:
```
CdRe2Pb
1.0
-3.869 3.869 2.735
3.869 -3.869 2.735
3.869 3.869 -2.735
Cd Re Pb
2 4 2
Cartesian
0.000 0.000 0.000
0.000 3.869 1.367
1.935 -1.889 2.051
1.980 1.935 0.684
1.935 5.759 -0.684
1.889 1.935 3.419
3.869 0.000 1.367
0.000 0.000 2.735
```


Entry from the Alexandria database: a relaxed CdRh2Pb crystal (PBE).

E ... -4.7129 eV/atom

Geometry as POSCAR:
```
CdRh2Pb
1.0
-1.987 1.987 4.593
1.987 -1.987 4.593
1.987 1.987 -4.593
Cd Rh Pb
1 2 1
Cartesian
0.000 0.000 0.000
0.000 0.000 4.593
0.000 1.987 2.296
1.987 0.000 2.296
```


Entry from the Alexandria database: a relaxed ScBePb3 crystal (PBE).

E ... -3.3718 eV/atom
ΔE to the lowest computed polymorph ... 0.4881 eV/atom

Geometry as POSCAR:
```
ScBePb3
1.0
5.626 0.000 0.000
0.000 5.626 0.000
0.000 0.000 5.626
Sc Be Pb
1 1 3
Cartesian
0.000 0.000 0.000
2.813 2.813 2.813
0.000 0.000 2.813
0.000 2.813 0.000
2.813 0.000 0.000
```


Entry from the Alexandria database: a relaxed PmGa3Ru3 crystal (PBE).

E ... -5.6846 eV/atom
ΔE to the lowest computed polymorph ... 0.0000 eV/atom

Geometry as POSCAR:
```
PmGa3Ru3
1.0
6.699 0.000 0.000
0.000 6.699 0.000
0.000 0.000 6.699
Pm Ga Ru
2 6 6
Cartesian
0.000 0.000 0.000
3.350 3.350 3.350
0.000 1.675 3.350
0.000 5.024 3.350
1.675 3.350 0.000
3.350 0.000 1.675
3.350 0.000 5.024
5.024 3.350 0.000
0.000 3.350 1.675
0.000 3.350 5.024
1.675 0.000 3.350
3.350 1.675 0.000
3.350 5.024 0.000
5.024 0.000 3.350
```


Entry from the Alexandria database: a relaxed CaPr2Sn crystal (PBE).

E ... -4.0288 eV/atom
ΔE to the lowest computed polymorph ... 0.2698 eV/atom

Geometry as POSCAR:
```
CaPr2Sn
1.0
2.400 1.385 7.947
-2.400 1.385 7.947
0.000 -2.771 7.947
Ca Pr Sn
1 2 1
Cartesian
0.000 0.000 0.000
0.000 0.000 13.403
0.000 0.000 18.337
0.000 0.000 3.902
```


Entry from the Alexandria database: a relaxed LiTmAg crystal (PBE).

E ... -3.2448 eV/atom
ΔE to the lowest computed polymorph ... 0.0214 eV/atom

Geometry as POSCAR:
```
LiTmAg
1.0
-1.801 1.801 4.814
1.801 -1.801 4.814
1.801 1.801 -4.814
Li Tm Ag
1 1 1
Cartesian
0.000 0.000 0.000
0.000 0.000 6.671
0.000 0.000 3.531
```


Entry from the Alexandria database: a relaxed ErZnAgAu crystal (PBE).

E ... -3.4350 eV/atom

Geometry as POSCAR:
```
ErZnAgAu
1.0
0.000 3.394 3.394
3.394 0.000 3.394
3.394 3.394 0.000
Er Zn Ag Au
1 1 1 1
Cartesian
0.000 0.000 0.000
3.394 3.394 3.394
5.091 5.091 5.091
1.697 1.697 1.697
```